No. 1
A relaxed structure of NiSe, computed with PBE.

POSCAR file:
```
NiSe
1.0
3.283 0.000 0.000
-1.642 2.843 0.000
0.000 0.000 6.624
Se Ni
2 2
Direct
0.000 0.000 0.500
0.000 0.000 0.000
0.333 0.667 0.250
0.667 0.333 0.750
```

## Properties
total energy = -18.5 eV for the cell shown
theoretical density = 7.39 g/cm³
formation energy without anion corrections = 0.001 eV per atom

No. 2
A relaxed structure of In4AgBiSe8, computed with PBE.

POSCAR file:
```
In4AgBiSe8
1.0
8.248 0.000 0.000
4.124 7.143 0.000
4.124 2.381 6.739
Se In Ag Bi
8 4 1 1
Direct
0.251 0.767 0.730
0.750 0.228 0.272
0.243 0.243 0.272
0.750 0.750 0.272
0.228 0.750 0.272
0.760 0.760 0.721
0.767 0.251 0.730
0.251 0.251 0.730
0.007 0.482 0.504
0.007 0.007 0.504
0.624 0.624 0.128
0.482 0.007 0.504
0.373 0.373 0.880
0.006 0.006 0.981
```

## Properties
total energy = -51.7 eV for the cell shown
theoretical density = 5.89 g/cm³
formation energy without anion corrections = -0.439 eV per atom